[1]
# Co2RuSe, optimized geometry, DFT PBE-GGA
# DOS(E_F) = 9.33 states/eV per cell
# Spin magnetization = 4.9 Bohr magnetons per cell
# Uncorrected formation energy = 332 meV/atom
data_Co2RuSe
_cell_length_a 3.7984
_cell_length_b 3.7984
_cell_length_c 7.0809
_cell_angle_alpha 90.00
_cell_angle_beta 90.00
_cell_angle_gamma 90.00
_symmetry_space_group_name_H-M 'I -4 m 2'
_symmetry_Int_Tables_number 119
_symmetry_space_group_name_Hall 'I -4 -2'
loop_
_atom_site_label
_atom_site_fract_x
_atom_site_fract_y
_atom_site_fract_z
Co1 0.0000 0.0000 0.0000
Co2 0.0000 0.5000 0.2500
Ru1 0.0000 0.5000 0.7500
Se1 0.0000 0.0000 0.5000

***

[2]
# CoRuSe4, optimized geometry, DFT PBE-GGA
# DOS(E_F) = 36.17 states/eV per cell
# Spin magnetization = 20.6 Bohr magnetons per cell
# Uncorrected formation energy = 1296 meV/atom
# Polymorph energy (0 for the lowest one) = 9.820 eV/f.u.
data_CoRuSe4
_cell_length_a 7.8139
_cell_length_b 7.8139
_cell_length_c 7.8139
_cell_angle_alpha 90.00
_cell_angle_beta 90.00
_cell_angle_gamma 90.00
_symmetry_space_group_name_H-M 'F -4 3 m'
_symmetry_Int_Tables_number 216
_symmetry_space_group_name_Hall 'F -4 2 3'
loop_
_atom_site_label
_atom_site_fract_x
_atom_site_fract_y
_atom_site_fract_z
Co1 0.0000 0.0000 0.0000
Ru1 0.2500 0.2500 0.2500
Se1 0.1251 0.1251 0.6251

***

[3]
# Co4RuSe, optimized geometry, DFT PBE-GGA
# DOS(E_F) = 33.08 states/eV per cell
# Spin magnetization = 35.5 Bohr magnetons per cell
# Uncorrected formation energy = 423 meV/atom
data_Co4RuSe
_cell_length_a 6.7845
_cell_length_b 6.7845
_cell_length_c 6.7845
_cell_angle_alpha 90.00
_cell_angle_beta 90.00
_cell_angle_gamma 90.00
_symmetry_space_group_name_H-M 'F -4 3 m'
_symmetry_Int_Tables_number 216
_symmetry_space_group_name_Hall 'F -4 2 3'
loop_
_atom_site_label
_atom_site_fract_x
_atom_site_fract_y
_atom_site_fract_z
Co1 0.1246 0.1246 0.1246
Ru1 0.2500 0.2500 0.7500
Se1 0.0000 0.0000 0.5000

***

[4]
# Th6Co2RuSe3, optimized geometry, DFT PBE-GGA
# DOS(E_F) = 17.63 states/eV per cell
# Spin magnetization = 0.0 Bohr magnetons per cell
# Uncorrected formation energy = -980 meV/atom
data_Th6Co2RuSe3
_cell_length_a 18.6116
_cell_length_b 4.0736
_cell_length_c 8.6967
_cell_angle_alpha 90.00
_cell_angle_beta 109.20
_cell_angle_gamma 90.00
_symmetry_space_group_name_H-M 'C 1 2/m 1'
_symmetry_Int_Tables_number 12
_symmetry_space_group_name_Hall '-C 2y'
loop_
_atom_site_label
_atom_site_fract_x
_atom_site_fract_y
_atom_site_fract_z
Th1 0.0116 0.0000 0.2349
Th2 0.1591 0.5000 0.1067
Th3 0.1774 0.5000 0.5619
Co1 0.1683 0.0000 0.3352
Ru1 0.0000 0.5000 0.0000
Se1 0.0000 0.5000 0.5000
Se2 0.1658 0.0000 0.8315

***

[5]
# Th8Co3RuSe4, optimized geometry, DFT PBE-GGA
# DOS(E_F) = 29.88 states/eV per cell
# Spin magnetization = 0.0 Bohr magnetons per cell
# Uncorrected formation energy = -975 meV/atom
data_Th8Co3RuSe4
_cell_length_a 8.0746
_cell_length_b 8.0746
_cell_length_c 21.9561
_cell_angle_alpha 90.00
_cell_angle_beta 90.00
_cell_angle_gamma 120.00
_symmetry_space_group_name_H-M 'R -3 m'
_symmetry_Int_Tables_number 166
_symmetry_space_group_name_Hall '-R 3 2"'
loop_
_atom_site_label
_atom_site_fract_x
_atom_site_fract_y
_atom_site_fract_z
Th1 0.0000 0.0000 0.2355
Th2 0.0037 0.5019 0.7630
Co1 0.0000 0.5000 0.5000
Ru1 0.0000 0.0000 0.5000
Se1 0.0000 0.0000 0.0000
Se2 0.0000 0.5000 0.0000

***

[6]
# Th8CoRu3Se4, optimized geometry, DFT PBE-GGA
# DOS(E_F) = 21.43 states/eV per cell
# Spin magnetization = 0.0 Bohr magnetons per cell
# Uncorrected formation energy = -1039 meV/atom
data_Th8CoRu3Se4
_cell_length_a 8.1516
_cell_length_b 8.1516
_cell_length_c 22.0772
_cell_angle_alpha 90.00
_cell_angle_beta 90.00
_cell_angle_gamma 120.00
_symmetry_space_group_name_H-M 'R -3 m'
_symmetry_Int_Tables_number 166
_symmetry_space_group_name_Hall '-R 3 2"'
loop_
_atom_site_label
_atom_site_fract_x
_atom_site_fract_y
_atom_site_fract_z
Th1 0.0000 0.0000 0.2386
Th2 0.0043 0.5022 0.2370
Co1 0.0000 0.0000 0.5000
Ru1 0.0000 0.5000 0.5000
Se1 0.0000 0.0000 0.0000
Se2 0.0000 0.5000 0.0000

***

[7]
# Ti2CoRuSe, optimized geometry, DFT PBE-GGA
# DOS(E_F) = 7.00 states/eV per cell
# Spin magnetization = 0.6 Bohr magnetons per cell
# Uncorrected formation energy = 456 meV/atom
data_Ti2CoRuSe
_cell_length_a 4.6186
_cell_length_b 4.6186
_cell_length_c 4.1373
_cell_angle_alpha 90.00
_cell_angle_beta 90.00
_cell_angle_gamma 90.00
_symmetry_space_group_name_H-M 'P 4/m m m'
_symmetry_Int_Tables_number 123
_symmetry_space_group_name_Hall '-P 4 2'
loop_
_atom_site_label
_atom_site_fract_x
_atom_site_fract_y
_atom_site_fract_z
Ti1 0.0000 0.5000 0.0000
Co1 0.0000 0.0000 0.5000
Ru1 0.5000 0.5000 0.5000
Se1 0.0000 0.0000 0.0000

***

[8]
# Co2SiRu, optimized geometry, DFT PBE-GGA
# DOS(E_F) = 5.08 states/eV per cell
# Spin magnetization = 3.1 Bohr magnetons per cell
# Uncorrected formation energy = -197 meV/atom
data_Co2SiRu
_cell_length_a 2.8525
_cell_length_b 4.0186
_cell_length_c 4.1493
_cell_angle_alpha 90.00
_cell_angle_beta 90.00
_cell_angle_gamma 90.00
_symmetry_space_group_name_H-M 'P m m m'
_symmetry_Int_Tables_number 47
_symmetry_space_group_name_Hall '-P 2 2'
loop_
_atom_site_label
_atom_site_fract_x
_atom_site_fract_y
_atom_site_fract_z
Co1 0.0000 0.0000 0.0000
Co2 0.5000 0.5000 0.0000
Si1 0.0000 0.5000 0.5000
Ru1 0.5000 0.0000 0.5000

***

What did the second record say?
# CoRuSe4, optimized geometry, DFT PBE-GGA
# DOS(E_F) = 36.17 states/eV per cell
# Spin magnetization = 20.6 Bohr magnetons per cell
# Uncorrected formation energy = 1296 meV/atom
# Polymorph energy (0 for the lowest one) = 9.820 eV/f.u.
data_CoRuSe4
_cell_length_a 7.8139
_cell_length_b 7.8139
_cell_length_c 7.8139
_cell_angle_alpha 90.00
_cell_angle_beta 90.00
_cell_angle_gamma 90.00
_symmetry_space_group_name_H-M 'F -4 3 m'
_symmetry_Int_Tables_number 216
_symmetry_space_group_name_Hall 'F -4 2 3'
loop_
_atom_site_label
_atom_site_fract_x
_atom_site_fract_y
_atom_site_fract_z
Co1 0.0000 0.0000 0.0000
Ru1 0.2500 0.2500 0.2500
Se1 0.1251 0.1251 0.6251

***

- Look up the uncorrected formation energy of the third one.
  423 meV/atom

***

What did the fourth record say?
# Th6Co2RuSe3, optimized geometry, DFT PBE-GGA
# DOS(E_F) = 17.63 states/eV per cell
# Spin magnetization = 0.0 Bohr magnetons per cell
# Uncorrected formation energy = -980 meV/atom
data_Th6Co2RuSe3
_cell_length_a 18.6116
_cell_length_b 4.0736
_cell_length_c 8.6967
_cell_angle_alpha 90.00
_cell_angle_beta 109.20
_cell_angle_gamma 90.00
_symmetry_space_group_name_H-M 'C 1 2/m 1'
_symmetry_Int_Tables_number 12
_symmetry_space_group_name_Hall '-C 2y'
loop_
_atom_site_label
_atom_site_fract_x
_atom_site_fract_y
_atom_site_fract_z
Th1 0.0116 0.0000 0.2349
Th2 0.1591 0.5000 0.1067
Th3 0.1774 0.5000 0.5619
Co1 0.1683 0.0000 0.3352
Ru1 0.0000 0.5000 0.0000
Se1 0.0000 0.5000 0.5000
Se2 0.1658 0.0000 0.8315

***

Repeat the first record exactly.
# Co2RuSe, optimized geometry, DFT PBE-GGA
# DOS(E_F) = 9.33 states/eV per cell
# Spin magnetization = 4.9 Bohr magnetons per cell
# Uncorrected formation energy = 332 meV/atom
data_Co2RuSe
_cell_length_a 3.7984
_cell_length_b 3.7984
_cell_length_c 7.0809
_cell_angle_alpha 90.00
_cell_angle_beta 90.00
_cell_angle_gamma 90.00
_symmetry_space_group_name_H-M 'I -4 m 2'
_symmetry_Int_Tables_number 119
_symmetry_space_group_name_Hall 'I -4 -2'
loop_
_atom_site_label
_atom_site_fract_x
_atom_site_fract_y
_atom_site_fract_z
Co1 0.0000 0.0000 0.0000
Co2 0.0000 0.5000 0.2500
Ru1 0.0000 0.5000 0.7500
Se1 0.0000 0.0000 0.5000